Here is crystalline SmHfMg4 at its relaxed geometry from the Alexandria database. Energies are from PBE.

* total energy: -20.38 eV/cell

Cell: 5.893 5.893 5.893 Å, 60.00 60.00 60.00°
Site moments in Bohr magnetons follow the coordinates.
Sites, in units of the cell vectors:
Mg  0.626  0.123  0.626  0.01
Mg  0.626  0.626  0.123  0.01
Mg  0.123  0.626  0.626  0.01
Mg  0.626  0.626  0.626  0.01
Sm  0.250  0.250  0.250  0.26
Hf  0.000  0.000  0.000  0.64